Na2Tl7Hg2: optimized geometry, PBE-GGA.

The calculation puts the formation energy at -0.050 eV/atom. For the polymorph energy (0 for the lowest one), the calculation gives 0.08 eV/f.u. The space group is Imm2, No. 44.

abc: 5.021 8.978 8.978
angles: 57.96 73.76 73.76
Fractional coordinates of all 11 atoms:
Na1 0.000 0.630 0.370
Na2 0.500 0.304 0.696
Tl1 0.350 0.766 0.534
Tl2 0.156 0.750 0.937
Tl3 0.157 0.189 0.497
Tl4 0.843 0.503 0.811
Tl5 0.844 0.063 0.250
Tl6 0.500 0.920 0.080
Tl7 0.650 0.466 0.234
Hg1 0.310 0.322 0.059
Hg2 0.690 0.941 0.678

---

Na15Tl4Hg: optimized geometry, PBE-GGA.

The calculation puts the formation energy at -0.083 eV/atom. The space group is P4/mmm, No. 123.

abc: 4.821 4.821 26.180
angles: 90.00 90.00 90.00
Fractional coordinates of all 20 atoms:
Na1 0.500 0.000 0.298
Na2 0.500 0.000 0.096
Na3 0.500 0.000 0.500
Na4 0.000 0.500 0.298
Na5 0.500 0.000 0.702
Na6 0.500 0.500 0.399
Na7 0.500 0.500 0.197
Na8 0.000 0.500 0.096
Na9 0.000 0.500 0.904
Na10 0.500 0.500 0.803
Na11 0.500 0.500 0.601
Na12 0.000 0.500 0.500
Na13 0.000 0.500 0.702
Na14 0.500 0.000 0.904
Na15 0.500 0.500 0.000
Tl1 0.000 0.000 0.601
Tl2 0.000 0.000 0.803
Tl3 0.000 0.000 0.399
Tl4 0.000 0.000 0.197
Hg1 0.000 0.000 0.000